Here is a geometry-optimized RePt8 structure from the Alexandria database. Energies are from GGA-PBE.

abc: 6.2700 6.2700 6.2700
angles: 95.72 95.72 143.20
Fractional positions:
Re 0.0000 0.0000 0.0000
Pt 0.0000 0.3286 0.3286
Pt 0.0000 0.6714 0.6714
Pt 0.3286 0.0000 0.3286
Pt 0.3391 0.3391 0.6781
Pt 0.3391 0.6609 0.0000
Pt 0.6609 0.3391 0.0000
Pt 0.6609 0.6609 0.3219
Pt 0.6714 0.0000 0.6714

Calculated total energy, eV/atom: -6.815
Density of states at the Fermi level, states/eV/cell: 12.389
Formation energy, meV/atom: -63
Space group: I4/mmm
Mass density, g/cm³: 20.702

=====

Here is a geometry-optimized RePt2 structure from the Alexandria database. Energies are from GGA-PBE.

abc: 5.0964 5.0964 5.0964
angles: 103.98 103.98 121.13
Fractional positions:
Re 0.2500 0.2500 0.0000
Re 0.7500 0.7500 0.0000
Pt 0.1460 0.6460 0.7921
Pt 0.3540 0.1460 0.5000
Pt 0.6460 0.8540 0.5000
Pt 0.8540 0.3540 0.2079

Calculated total energy, eV/atom: -7.940
Distance to the lowest polymorph of the same formula, meV/atom: 384
Density of states at the Fermi level, states/eV/cell: 6.321
Formation energy, meV/atom: 237
Space group: I4/mcm
Mass density, g/cm³: 19.398

=====

Here is a geometry-optimized RePt structure from the Alexandria database. Energies are from GGA-PBE.

abc: 4.3630 4.3630 7.9989
angles: 90.00 90.00 120.00
Fractional positions:
Re 0.3333 0.6667 0.0910
Re 0.3333 0.6667 0.4090
Re 0.6667 0.3333 0.5910
Re 0.6667 0.3333 0.9090
Pt 0.0000 0.0000 0.2500
Pt 0.0000 0.0000 0.7500
Pt 0.3333 0.6667 0.7500
Pt 0.6667 0.3333 0.2500

Calculated total energy, eV/atom: -8.786
Distance to the lowest polymorph of the same formula, meV/atom: 584
Density of states at the Fermi level, states/eV/cell: 5.233
Formation energy, meV/atom: 459
Space group: P6_3/mmc
Mass density, g/cm³: 19.206

=====

Here is a geometry-optimized Re3Pt structure from the Alexandria database. Energies are from GGA-PBE.

abc: 5.3687 5.3687 4.5108
angles: 90.00 90.00 90.62
Fractional positions:
Re 0.0761 0.9239 0.7500
Re 0.0823 0.5812 0.2500
Re 0.4188 0.9177 0.2500
Re 0.5812 0.0823 0.7500
Re 0.9177 0.4188 0.7500
Re 0.9239 0.0761 0.2500
Pt 0.4165 0.5835 0.7500
Pt 0.5835 0.4165 0.2500

Calculated total energy, eV/atom: -10.560
Density of states at the Fermi level, states/eV/cell: 6.519
Formation energy, meV/atom: 287
Space group: Cmcm
Mass density, g/cm³: 19.254

=====

- The lowest calculated total energy belongs to which entry?
  Re3Pt

=====

- What is the formula in the fourth record?
  Re3Pt

=====

Repeat the second record exactly.
Here is a geometry-optimized RePt2 structure from the Alexandria database. Energies are from GGA-PBE.

abc: 5.0964 5.0964 5.0964
angles: 103.98 103.98 121.13
Fractional positions:
Re 0.2500 0.2500 0.0000
Re 0.7500 0.7500 0.0000
Pt 0.1460 0.6460 0.7921
Pt 0.3540 0.1460 0.5000
Pt 0.6460 0.8540 0.5000
Pt 0.8540 0.3540 0.2079

Calculated total energy, eV/atom: -7.940
Distance to the lowest polymorph of the same formula, meV/atom: 384
Density of states at the Fermi level, states/eV/cell: 6.321
Formation energy, meV/atom: 237
Space group: I4/mcm
Mass density, g/cm³: 19.398